The following is a GGA-PBE calculation of a relaxed Na4Sm3ScS8 crystal, from Alexandria via LeMat-Bulk.

Geometry as CIF:
```
data_Na4Sm3ScS8
_cell_length_a 8.0105
_cell_length_b 8.0105
_cell_length_c 20.0422
_cell_angle_alpha 90.00
_cell_angle_beta 90.00
_cell_angle_gamma 120.00
_symmetry_space_group_name_H-M 'R -3 m'
_symmetry_Int_Tables_number 166
_symmetry_space_group_name_Hall '-R 3 2"'
loop_
_atom_site_label
_atom_site_type_symbol
_atom_site_fract_x
_atom_site_fract_y
_atom_site_fract_z
Na1 Na 0.0000 0.0000 0.0000
Na2 Na 0.0000 0.5000 0.0000
Sm1 Sm 0.0000 0.5000 0.5000
Sc1 Sc 0.0000 0.0000 0.5000
S1 S 0.0000 0.0000 0.2445
S2 S 0.0157 0.5079 0.2416
```

Calculated values
D(E_F) = 0.00 states/eV/f.u.
Density = 3.8 g cm⁻³
Size of the total moment = 0.00 μB/atom
Energy relative to the elements, uncorrected = -1.78 eV per atom